No. 1
{"formula": "TcSb2H", "functional": "PBE", "state": "relaxed", "cell": [[4.0495, -0.2376, 2.1204], [1.7263, 3.7058, 2.0588], [0.2060, 0.1927, 4.5686]], "species": ["H", "Sb", "Sb", "Tc"], "frac_coords": [[0.0000, 0.0000, 0.0000], [0.2500, 0.2500, 0.2500], [0.7500, 0.7500, 0.7500], [0.5000, 0.5000, 0.5000]], "spacegroup": "Fm-3m", "total_magnetization_mub_per_fu": 0.084, "density_g_cm3": 8.39, "relative_energy_mev_per_atom": 42, "dos_ef_per_ev_fu": 3.03}

***

No. 2
{"formula": "ZrSb2Se", "functional": "PBE", "state": "relaxed", "cell": [[7.2054, 0.0553, 0.0010], [4.9532, 5.2331, -0.0010], [-6.0567, -2.6962, 2.8226]], "species": ["Sb", "Sb", "Zr", "Se"], "frac_coords": [[0.9990, 0.9990, 0.0000], [0.7278, 0.2278, 0.5000], [0.3106, 0.8106, 0.5000], [0.4627, 0.4627, 0.0000]], "spacegroup": "Imm2", "total_magnetization_mub_per_fu": 0.000, "e_form_raw_ev_per_atom": -0.346, "density_g_cm3": 6.50, "dos_ef_per_ev_fu": 1.73}

***

No. 3
{"formula": "BaLi3Sn", "functional": "PBE", "state": "relaxed", "cell": [[-3.2651, 4.3068, 0.7084], [-4.3643, -3.2115, -0.5910], [-0.0496, -0.9212, 5.3721]], "species": ["Li", "Li", "Li", "Ba", "Sn"], "frac_coords": [[0.5000, 0.0000, 0.0000], [0.0000, 0.5000, 0.0000], [0.0000, 0.0000, 0.5000], [0.0000, 0.0000, 0.0000], [0.5000, 0.5000, 0.5000]], "spacegroup": "Pm-3m", "formation_energy_ev_per_fu": 4.4, "total_magnetization_mub_per_fu": 0.000, "density_g_cm3": 2.84, "relative_energy_mev_per_atom": 1128, "dos_ef_per_ev_fu": 4.25}

***

No. 4
{"formula": "Ge2Pd5Pt", "functional": "PBE", "state": "relaxed", "cell": [[-3.3577, -1.2474, 1.6355], [2.6381, -0.7478, 4.8459], [-2.4494, 10.4573, 2.9472]], "species": ["Pd", "Pd", "Pd", "Pd", "Pd", "Pd", "Pd", "Pd", "Pd", "Pd", "Pt", "Pt", "Ge", "Ge", "Ge", "Ge"], "frac_coords": [[0.5000, 0.2458, 0.8742], [0.0000, 0.5080, 0.2508], [0.0000, 0.9920, 0.7508], [0.5000, 0.7542, 0.1258], [0.5000, 0.7458, 0.6258], [0.0000, 0.0000, 0.0000], [0.0000, 0.0080, 0.2492], [0.0000, 0.5000, 0.5000], [0.0000, 0.4920, 0.7492], [0.5000, 0.2542, 0.3742], [0.0000, 0.5000, 0.0000], [0.0000, 0.0000, 0.5000], [0.5000, 0.7452, 0.8759], [0.5000, 0.2548, 0.1241], [0.5000, 0.7548, 0.3759], [0.5000, 0.2452, 0.6241]], "spacegroup": "Pbam", "formation_energy_ev_per_fu": -2.9, "total_magnetization_mub_per_fu": 0.000, "density_g_cm3": 11.87, "relative_energy_mev_per_atom": 0, "dos_ef_per_ev_fu": 2.31}

***

No. 5
{"formula": "Ca2LaCu2", "functional": "PBE", "state": "relaxed", "cell": [[-6.3964, 4.0657, 1.1024], [-1.8776, -4.5459, 5.8709], [2.2438, 2.7567, 2.8522]], "species": ["Cu", "Cu", "Cu", "Cu", "La", "La", "Ca", "Ca", "Ca", "Ca"], "frac_coords": [[0.1157, 0.3843, 0.0000], [0.6157, 0.1157, 0.0000], [0.3843, 0.8843, 0.0000], [0.8843, 0.6157, 0.0000], [0.5000, 0.5000, 0.0000], [0.0000, 0.0000, 0.0000], [0.8338, 0.3338, 0.5000], [0.3338, 0.1662, 0.5000], [0.1662, 0.6662, 0.5000], [0.6662, 0.8338, 0.5000]], "spacegroup": "P4/mbm", "formation_energy_ev_per_fu": -0.4, "total_magnetization_mub_per_fu": 0.000, "density_g_cm3": 4.30, "relative_energy_mev_per_atom": 0, "dos_ef_per_ev_fu": 4.35}

***

No. 6
{"formula": "Li2MnTc", "functional": "PBE", "state": "relaxed", "cell": [[-5.5127, -5.6386, -5.4242], [-3.1603, -6.3944, -6.3820], [-4.1333, -7.5417, -4.2004]], "species": ["Mn", "Li", "Li", "Tc"], "frac_coords": [[0.2500, 0.2500, 0.2500], [0.0008, 0.0008, 0.0008], [0.4992, 0.4992, 0.4992], [0.7500, 0.7500, 0.7500]], "spacegroup": "R-3m", "formation_energy_ev_per_fu": 1.5, "total_magnetization_mub_per_fu": 3.961, "density_g_cm3": 4.82, "relative_energy_mev_per_atom": 179, "dos_ef_per_ev_fu": 4.07}

***

No. 7
{"formula": "SrTl", "functional": "PBE", "state": "relaxed", "cell": [[-8.7644, 14.2948, 1.4043], [-11.9801, -6.3234, -10.4014], [-2.0264, -1.5652, 3.2855]], "species": ["Sr", "Sr", "Sr", "Sr", "Sr", "Sr", "Sr", "Sr", "Sr", "Sr", "Sr", "Sr", "Sr", "Sr", "Sr", "Sr", "Tl", "Tl", "Tl", "Tl", "Tl", "Tl", "Tl", "Tl", "Tl", "Tl", "Tl", "Tl", "Tl", "Tl", "Tl", "Tl"], "frac_coords": [[0.7500, 0.3850, 0.7500], [0.2500, 0.8850, 0.7500], [0.0000, 0.1350, 0.5000], [0.7500, 0.1150, 0.7500], [0.0000, 0.6350, 0.0000], [0.0000, 0.8650, 0.5000], [0.0000, 0.3650, 0.0000], [0.7500, 0.8850, 0.2500], [0.2500, 0.3850, 0.2500], [0.2500, 0.1150, 0.2500], [0.2500, 0.6150, 0.7500], [0.5000, 0.1350, 0.0000], [0.5000, 0.8650, 0.0000], [0.7500, 0.6150, 0.2500], [0.5000, 0.3650, 0.5000], [0.5000, 0.6350, 0.5000], [0.3487, 0.7500, 0.2500], [0.9013, 0.5000, 0.5000], [0.0987, 0.5000, 0.5000], [0.0987, 0.0000, 0.0000], [0.5987, 0.0000, 0.5000], [0.9013, 0.0000, 0.0000], [0.4013, 0.0000, 0.5000], [0.4013, 0.5000, 0.0000], [0.3487, 0.2500, 0.7500], [0.6513, 0.7500, 0.7500], [0.5987, 0.5000, 0.0000], [0.8487, 0.2500, 0.2500], [0.8487, 0.7500, 0.7500], [0.1513, 0.2500, 0.7500], [0.6513, 0.2500, 0.2500], [0.1513, 0.7500, 0.2500]], "spacegroup": "Fddd", "formation_energy_ev_per_fu": -0.6, "total_magnetization_mub_per_fu": 0.000, "density_g_cm3": 6.48, "dos_ef_per_ev_fu": 1.45}

***

No. 8
{"formula": "Ce4GaC", "functional": "PBE", "state": "relaxed", "cell": [[-4.0470, 2.7355, -4.1705], [-6.8591, -3.7978, 0.8585], [-5.0192, 1.8814, 4.4515]], "species": ["Ce", "Ce", "Ce", "Ce", "Ce", "Ce", "Ce", "Ce", "C", "C", "Ga", "Ga"], "frac_coords": [[0.9528, 0.9412, 0.3098], [0.9192, 0.3473, 0.8340], [0.5808, 0.8187, 0.8340], [0.4192, 0.1813, 0.1660], [0.0808, 0.6527, 0.1660], [0.4528, 0.2510, 0.6902], [0.0472, 0.0588, 0.6902], [0.5472, 0.7490, 0.3098], [0.7500, 0.0045, 0.9910], [0.2500, 0.9955, 0.0090], [0.7500, 0.3720, 0.2560], [0.2500, 0.6280, 0.7440]], "spacegroup": "C2/c", "formation_energy_ev_per_fu": -0.9, "total_magnetization_mub_per_fu": 1.934, "density_g_cm3": 7.62, "relative_energy_mev_per_atom": 36, "dos_ef_per_ev_fu": 14.34}